A plane-wave DFT calculation with GGA-PBE was carried out for a relaxed structure of Th5In4Te.

Unit cell a=3.606 b=3.606 c=22.189 alpha=90.00 beta=90.00 gamma=90.00
Space group P4/mmm (No. 123)
Symmetry-distinct sites (fractional):
Th 0.000 0.000 0.000 x1
Th 0.000 0.000 0.204 x2
Th 0.000 0.000 0.406 x2
In 0.500 0.500 0.102 x2
In 0.500 0.500 0.305 x2
Te 0.500 0.500 0.500 x1

Summary:
D(E_F): 1.08 states/eV per atom
raw formation energy: -0.42 eV/atom
size of the total moment: 0.00 μB/f.u.